(1)
Here is a relaxed structure of K2SrAg from Alexandria via LeMat-Bulk. Energies are from GGA-PBE.

Lattice parameters (Å, degrees): 6.419 4.623 6.231 79.04 90.00 90.00
Atoms (fractional coordinates):
Ag (0.500, 0.750, 0.750)
K (0.000, 0.936, 0.965)
K (0.000, 0.564, 0.535)
Sr (0.500, 0.250, 0.250)

Results
V: 45.38 Å³/atom
formation energy: 0.156 eV per atom
energy relative to the lowest polymorph listed for this composition: 187 meV/atom
uncorrected energy: -1.526 eV per atom

(2)
Here is a relaxed structure of K2SrAg from Alexandria via LeMat-Bulk. Energies are from GGA-PBE.

Lattice parameters (Å, degrees): 6.242 6.242 6.242 120.52 120.52 89.10
Atoms (fractional coordinates):
Ag (0.750, 0.250, 0.500)
K (0.000, 0.000, 0.000)
K (0.250, 0.750, 0.500)
Sr (0.500, 0.500, 0.000)

Results
V: 42.65 Å³/atom
formation energy: 0.147 eV per atom
energy relative to the lowest polymorph listed for this composition: 178 meV/atom
uncorrected energy: -1.535 eV per atom

(3)
Here is a relaxed structure of K3SrAg from Alexandria via LeMat-Bulk. Energies are from GGA-PBE.

Lattice parameters (Å, degrees): 6.646 6.646 6.646 90.00 90.00 90.00
Atoms (fractional coordinates):
Sr (0.500, 0.500, 0.500)
K (0.000, 0.500, 0.000)
K (0.000, 0.000, 0.500)
K (0.500, 0.000, 0.000)
Ag (0.000, 0.000, 0.000)

Results
V: 58.72 Å³/atom
formation energy: 0.166 eV per atom
energy relative to the lowest polymorph listed for this composition: 0 meV/atom
uncorrected energy: -1.399 eV per atom

(4)
Here is a relaxed structure of K4SrAg from Alexandria via LeMat-Bulk. Energies are from GGA-PBE.

Lattice parameters (Å, degrees): 7.850 7.850 7.850 60.00 60.00 60.00
Atoms (fractional coordinates):
K (0.878, 0.374, 0.374)
K (0.374, 0.374, 0.878)
K (0.374, 0.878, 0.374)
K (0.374, 0.374, 0.374)
Sr (0.750, 0.750, 0.750)
Ag (0.000, 0.000, 0.000)

Results
V: 57.01 Å³/atom
formation energy: 0.304 eV per atom
uncorrected energy: -1.183 eV per atom

(5)
Here is a relaxed structure of K2SrAg from Alexandria via LeMat-Bulk. Energies are from GGA-PBE.

Lattice parameters (Å, degrees): 8.011 8.011 8.011 148.99 130.89 59.23
Atoms (fractional coordinates):
Ag (0.261, 0.761, 0.500)
K (0.064, 0.064, 0.000)
K (0.743, 0.243, 0.500)
Sr (0.431, 0.431, 0.000)

Results
V: 49.67 Å³/atom
formation energy: 0.058 eV per atom
energy relative to the lowest polymorph listed for this composition: 89 meV/atom
uncorrected energy: -1.624 eV per atom

(6)
Here is a relaxed structure of KSrAg2 from Alexandria via LeMat-Bulk. Energies are from GGA-PBE.

Lattice parameters (Å, degrees): 3.861 3.861 9.296 90.00 90.00 90.03
Atoms (fractional coordinates):
Ag (0.000, 0.000, 0.055)
Ag (0.500, 0.500, 0.176)
K (0.000, 0.000, 0.426)
Sr (0.500, 0.500, 0.842)

Results
V: 34.64 Å³/atom
formation energy: 0.009 eV per atom
energy relative to the lowest polymorph listed for this composition: 130 meV/atom
uncorrected energy: -2.111 eV per atom

Q: Which of these has the highest uncorrected energy?
A: K4SrAg

Q: Among the records above, which one has the highest uncorrected energy?
A: K4SrAg

What did the fifth record say?
Here is a relaxed structure of K2SrAg from Alexandria via LeMat-Bulk. Energies are from GGA-PBE.

Lattice parameters (Å, degrees): 8.011 8.011 8.011 148.99 130.89 59.23
Atoms (fractional coordinates):
Ag (0.261, 0.761, 0.500)
K (0.064, 0.064, 0.000)
K (0.743, 0.243, 0.500)
Sr (0.431, 0.431, 0.000)

Results
V: 49.67 Å³/atom
formation energy: 0.058 eV per atom
energy relative to the lowest polymorph listed for this composition: 89 meV/atom
uncorrected energy: -1.624 eV per atom

Q: What is the V in the third record?
A: 58.72 Å³/atom